No. 1
Be2CrPb (PBEsol, relaxed); density = 8.366 Mg/m³; final energy = -19.6 eV for the cell shown; D(E_F) = 2.6 states/eV/cell; SG = I4/mmm; energy of formation from the pure elements = 0.67 eV per atom
1.0
-1.8702 1.8702 3.9333
1.8702 -1.8702 3.9333
1.8702 1.8702 -3.9333
Be Cr Pb
2 1 1
direct
0.2500 0.7500 0.5000
0.7500 0.2500 0.5000
0.0000 0.0000 0.0000
0.5000 0.5000 0.0000



No. 2
BeCrPb2 (PBEsol, relaxed); density = 9.707 Mg/m³; final energy = -19.2 eV for the cell shown; D(E_F) = 2.4 states/eV/cell; SG = P4/mmm; energy of formation from the pure elements = 0.75 eV per atom
1.0
3.5236 0.0000 0.0000
0.0000 3.5236 0.0000
0.0000 0.0000 6.5504
Be Cr Pb
1 1 2
direct
0.0000 0.0000 0.0000
0.0000 0.0000 0.5000
0.5000 0.5000 0.2400
0.5000 0.5000 0.7600



Q: Among the records above, which one has the highest energy of formation from the pure elements?
A: BeCrPb2



Q: Which value of D(E_F) does entry 2 give?
A: 2.4 states/eV/cell



Copy entry 1 word for word.
Be2CrPb (PBEsol, relaxed); density = 8.366 Mg/m³; final energy = -19.6 eV for the cell shown; D(E_F) = 2.6 states/eV/cell; SG = I4/mmm; energy of formation from the pure elements = 0.67 eV per atom
1.0
-1.8702 1.8702 3.9333
1.8702 -1.8702 3.9333
1.8702 1.8702 -3.9333
Be Cr Pb
2 1 1
direct
0.2500 0.7500 0.5000
0.7500 0.2500 0.5000
0.0000 0.0000 0.0000
0.5000 0.5000 0.0000



Q: What is the formula in the first record?
A: Be2CrPb